## In2TcSn (GGA-PBE)

Data for crystalline In2TcSn at its relaxed geometry.

```
In2TcSn
1.0
10.2573 0.0000 0.0000
0.0000 10.2573 0.0000
5.1287 5.1287 2.5823
Tc Sn In
2 2 4
Direct
0.2500 0.7500 0.5000 Tc
0.5000 0.5000 0.0000 Tc
0.0000 0.0000 0.0000 Sn
0.7500 0.2500 0.5000 Sn
0.3750 0.6248 0.7500 In
0.3752 0.1250 0.2500 In
0.8750 0.6252 0.7500 In
0.3748 0.6250 0.2500 In
```

Summary:
volume	34.0	A^3/atom
total moment	0.00	Bohr magnetons per cell
uncorrected energy	-37.445	eV/cell

## LaOs2W (GGA-PBE)

Data for crystalline LaOs2W at its relaxed geometry.

```
LaOs2W
1.0
-1.6652 -1.4406 -4.3889
-2.3675 -3.4411 2.5815
-2.3944 1.8687 0.2951
La W Os
1 1 2
Direct
0.0000 0.5000 0.5000 La
0.5000 0.0000 0.5000 W
0.5000 0.5000 0.0000 Os
0.0000 0.0000 0.0000 Os
```

Summary:
volume	18.3	A^3/atom
total moment	0.00	Bohr magnetons per cell
uncorrected energy	-37.992	eV/cell
ΔE to the lowest computed polymorph	450.0	meV/atom

## Hf2TiGa4 (GGA-PBE)

Data for crystalline Hf2TiGa4 at its relaxed geometry.

```
Hf2TiGa4
1.0
-3.9978 -0.5370 2.4279
-0.1770 -4.5238 -1.2920
1.5386 -4.2677 6.1541
Ga Hf Ti
4 2 1
Direct
0.5000 0.0000 0.0000 Ga
0.0000 0.5000 0.0000 Ga
0.8130 0.8130 0.3740 Ga
0.1870 0.1870 0.6260 Ga
0.6131 0.6131 0.7738 Hf
0.3869 0.3869 0.2262 Hf
0.0000 0.0000 0.0000 Ti
```

Summary:
volume	21.8	A^3/atom
total moment	0.00	Bohr magnetons per cell
uncorrected energy	-38.700	eV/cell
ΔE to the lowest computed polymorph	435.3	meV/atom

total moment of number 1 (In2TcSn)? 0.00 Bohr magnetons per cell